(1)
A relaxed NiMoRh2 crystal, computed with PBE.

**Crystal system**: tetragonal
**Formation enthalpy at 0 K**: -0.13 kcal/mol of atoms
**Symmetry**: P4mm, No. 99
**ΔE to the lowest computed polymorph**: 0.2061 eV per atom
**Spin magnetization**: 0.8 μB per formula unit

Cell lengths 2.7207, 2.7207, 7.4781 Å; angles 90.00, 90.00, 90.00 degrees
Closest atoms and distances in Å follow each position.
Sites, in units of the cell vectors:
1 Ni 0.0000 0.0000 0.0000  4 Mo 2.61, 4 Rh 2.63, 4 Ni 2.72
2 Mo 0.5000 0.5000 0.7640  4 Ni 2.61, 4 Mo 2.72, 4 Rh 2.75
3 Rh 0.0000 0.0000 0.5008  8 Rh 2.72-2.74, 4 Mo 2.75
4 Rh 0.5000 0.5000 0.2390  4 Ni 2.63, 8 Rh 2.72-2.74

=====

(2)
A relaxed Ni5MoRh6 crystal, computed with PBE.

**Crystal system**: monoclinic
**Formation enthalpy at 0 K**: -0.46 kcal/mol of atoms
**Symmetry**: C2/m, No. 12
**ΔE to the lowest computed polymorph**: 0.0130 eV per atom
**Spin magnetization**: 0.0 μB per formula unit

Cell lengths 7.0090, 7.0090, 4.5125 Å; angles 92.47, 92.47, 45.02 degrees
Closest atoms and distances in Å follow each position.
Sites, in units of the cell vectors:
1 Ni 0.0000 0.0000 0.0000  8 Rh 2.61-2.62, 2 Mo 2.68, 2 Ni 2.69
2 Ni 0.1670 0.1670 0.6665  8 Rh 2.61-2.62, 4 Ni 2.68-2.71
3 Ni 0.3366 0.3366 0.3359  8 Rh 2.60-2.65, 1 Mo 2.66, 3 Ni 2.68-2.71
4 Ni 0.6634 0.6634 0.6641  8 Rh 2.60-2.65, 1 Mo 2.66, 3 Ni 2.68-2.71
5 Ni 0.8330 0.8330 0.3335  8 Rh 2.61-2.62, 4 Ni 2.68-2.71
6 Mo 0.5000 0.5000 0.0000  8 Rh 2.63-2.64, 4 Ni 2.66-2.68
7 Rh 0.0805 0.5845 0.8346  7 Ni 2.62-2.65, 1 Mo 2.63, 4 Rh 2.66-2.70
8 Rh 0.2447 0.7553 0.5000  6 Ni 2.60-2.61, 4 Rh 2.63-2.74, 2 Mo 2.64
9 Rh 0.4155 0.9195 0.1654  7 Ni 2.62-2.65, 1 Mo 2.63, 4 Rh 2.66-2.70
10 Rh 0.5845 0.0805 0.8346  7 Ni 2.62-2.65, 1 Mo 2.63, 4 Rh 2.66-2.70
11 Rh 0.7553 0.2447 0.5000  6 Ni 2.60-2.61, 4 Rh 2.63-2.74, 2 Mo 2.64
12 Rh 0.9195 0.4155 0.1654  7 Ni 2.62-2.65, 1 Mo 2.63, 4 Rh 2.66-2.70

=====

(3)
A relaxed Ni6MoRh crystal, computed with PBE.

**Crystal system**: orthorhombic
**Formation enthalpy at 0 K**: -0.61 kcal/mol of atoms
**Symmetry**: Fmmm, No. 69
**ΔE to the lowest computed polymorph**: 0.0000 eV per atom
**Spin magnetization**: 0.0 μB per formula unit

Cell lengths 6.2412, 5.7236, 4.4312 Å; angles 74.63, 62.16, 43.20 degrees
Closest atoms and distances in Å follow each position.
Sites, in units of the cell vectors:
1 Ni 0.1283 0.1283 0.3717  8 Ni 2.48-2.62, 2 Rh 2.57, 2 Mo 2.57
2 Ni 0.2479 0.2479 0.7521  10 Ni 2.53-2.59, 1 Mo 2.53, 1 Rh 2.57
3 Ni 0.3717 0.3717 0.1283  8 Ni 2.48-2.62, 2 Mo 2.57, 2 Rh 2.57
4 Ni 0.6283 0.6283 0.8717  8 Ni 2.48-2.62, 2 Mo 2.57, 2 Rh 2.57
5 Ni 0.7521 0.7521 0.2479  10 Ni 2.53-2.59, 1 Mo 2.53, 1 Rh 2.57
6 Ni 0.8717 0.8717 0.6283  8 Ni 2.48-2.62, 2 Mo 2.57, 2 Rh 2.57
7 Mo 0.0000 0.0000 0.0000  10 Ni 2.53-2.57, 2 Rh 2.59
8 Rh 0.5000 0.5000 0.5000  10 Ni 2.57, 2 Mo 2.59

=====

(4)
A relaxed NiMo5Rh6 crystal, computed with PBE.

**Crystal system**: orthorhombic
**Formation enthalpy at 0 K**: -3.55 kcal/mol of atoms
**Symmetry**: Immm, No. 71
**Spin magnetization**: 0.0 μB per formula unit

Cell lengths 7.2473, 7.2473, 7.2473 Å; angles 148.98, 115.33, 73.45 degrees
Closest atoms and distances in Å follow each position.
Sites, in units of the cell vectors:
1 Ni 0.0000 0.0000 0.0000  8 Rh 2.71-2.73, 4 Mo 2.74
2 Mo 0.1664 0.6664 0.5000  8 Rh 2.71-2.76, 2 Ni 2.74, 2 Mo 2.75
3 Mo 0.3346 0.3346 0.0000  4 Mo 2.73-2.75, 8 Rh 2.74-2.76
4 Mo 0.5000 0.0000 0.5000  4 Mo 2.73, 8 Rh 2.75-2.77
5 Mo 0.6654 0.6654 0.0000  4 Mo 2.73-2.75, 8 Rh 2.74-2.76
6 Mo 0.8336 0.3336 0.5000  8 Rh 2.71-2.76, 2 Ni 2.74, 2 Mo 2.75
7 Rh 0.0812 0.8335 0.2476  1 Ni 2.73, 7 Mo 2.73-2.76, 4 Rh 2.74
8 Rh 0.2444 0.5000 0.7444  6 Mo 2.71-2.77, 2 Ni 2.71, 4 Rh 2.74
9 Rh 0.4141 0.1665 0.2476  1 Ni 2.73, 7 Mo 2.73-2.76, 4 Rh 2.74
10 Rh 0.5859 0.8335 0.7524  1 Ni 2.73, 7 Mo 2.73-2.76, 4 Rh 2.74
11 Rh 0.7556 0.5000 0.2556  6 Mo 2.71-2.77, 2 Ni 2.71, 4 Rh 2.74
12 Rh 0.9188 0.1665 0.7524  1 Ni 2.73, 7 Mo 2.73-2.76, 4 Rh 2.74